Entry 1:
This record from the Alexandria database describes a geometry-optimized KNaNdTaO5 structure. The functional is GGA-PBEsol.

## Properties
E: -7.903 eV per atom
energy relative to the elements, uncorrected: -2.736 eV/atom

Unit cell a=5.716 b=5.716 c=8.253 alpha=90.00 beta=90.00 gamma=90.00
Fractional coordinates of all 18 atoms:
K  0.500  0.500  0.000
K  0.000  0.000  0.000
Nd  0.000  0.000  0.500
Nd  0.500  0.500  0.500
O  0.731  0.769  0.330
O  0.500  0.000  0.034
O  0.000  0.500  0.966
O  0.731  0.231  0.330
O  0.269  0.231  0.330
O  0.231  0.269  0.670
O  0.769  0.269  0.670
O  0.769  0.731  0.670
O  0.269  0.769  0.330
O  0.231  0.731  0.670
Ta  0.000  0.500  0.742
Ta  0.500  0.000  0.258
Na  0.500  0.000  0.759
Na  0.000  0.500  0.241

***

Entry 2:
This record from the Alexandria database describes a geometry-optimized KNa3Ni structure. The functional is GGA-PBEsol.

## Properties
E: -1.875 eV per atom
energy of formation from the pure elements: 41 kJ/mol of atoms

Unit cell a=5.499 b=5.499 c=5.499 alpha=90.00 beta=90.00 gamma=90.00
Fractional coordinates of all 5 atoms:
Ni  0.000  0.000  0.000
Na  0.500  0.000  0.000
Na  0.000  0.500  0.000
Na  0.000  0.000  0.500
K  0.500  0.500  0.500

***

Question: Which of these has the highest E?
Answer: KNa3Ni

***

Question: Which of these has the lowest E?
Answer: KNaNdTaO5